Computed, not measured: Rb2In12Au7 after structural relaxation at the GGA-PBE level of DFT.

Calculated values
SG = P-6
VASP energy = -62.537 eV for the cell shown
DFT formation energy = -0.229 eV/atom
total magnetic moment = 0.000 μB per atom

Cell lengths 4.494, 11.692, 11.692 Å; angles 120.00, 90.00, 90.00 degrees
Fractional positions:
Rb 0.500 0.000 0.000
Rb 0.000 0.667 0.333
In 0.500 0.898 0.606
In 0.500 0.708 0.102
In 0.500 0.394 0.292
In 0.500 0.233 0.787
In 0.500 0.554 0.767
In 0.500 0.213 0.446
In 0.000 0.054 0.535
In 0.000 0.481 0.946
In 0.000 0.465 0.519
In 0.000 0.780 0.734
In 0.000 0.954 0.220
In 0.000 0.266 0.046
Au 0.000 0.333 0.667
Au 0.000 0.049 0.781
Au 0.000 0.731 0.951
Au 0.000 0.219 0.269
Au 0.500 0.636 0.564
Au 0.500 0.928 0.364
Au 0.500 0.436 0.072